DFT (PBE with a Hubbard U) results for an optimized crystal structure of Be2NiTeO6.

Calculated values
- Raw total energy: -59.78 eV per formula unit
- Total magnetic moment: 4.0 μB/cell

Structure (POSCAR):
```
Be2NiTeO6
1.0
4.942 -4.223 0.000
4.942 4.223 0.000
-2.156 0.000 4.955
Be Ni Te O
4 2 2 12
Direct
0.130 0.278 0.163 Be
0.278 0.130 0.663 Be
0.722 0.870 0.337 Be
0.870 0.722 0.837 Be
0.405 0.595 0.750 Ni
0.595 0.405 0.250 Ni
0.225 0.775 0.250 Te
0.775 0.225 0.750 Te
0.092 0.215 0.823 O
0.130 0.667 0.866 O
0.215 0.092 0.323 O
0.285 0.481 0.320 O
0.333 0.870 0.634 O
0.481 0.285 0.820 O
0.519 0.715 0.180 O
0.667 0.130 0.366 O
0.715 0.519 0.680 O
0.785 0.908 0.677 O
0.870 0.333 0.134 O
0.908 0.785 0.177 O
```